Record 1
Material: BaLaTiO4
Method: DFT, PBE
State: relaxed

Computed properties:
Its total energy is -7.950 eV/atom.

Structure (POSCAR):
```
BaLaTiO4
1.0
-0.261 -1.651 -3.626
-2.966 -2.345 1.282
-2.764 6.568 -0.594
O Ba La Ti
4 1 1 1
Cartesian
-1.566 1.635 -0.632
-4.429 3.662 -3.547
-4.597 1.117 -2.376
-5.782 3.315 -1.093
-2.891 -0.665 -1.687
-3.134 3.272 -1.264
-5.942 2.521 -2.918
```

Record 2
Material: BaLa4Ti4O15
Method: DFT, PBE
State: relaxed

Computed properties:
For the energy above the most stable polymorph in this dataset, the calculation gives 0 meV/atom.

Structure (POSCAR):
```
BaLa4Ti4O15
1.0
5.621 0.000 0.000
-2.811 4.868 0.000
0.000 0.000 22.770
O La Ti Ba
30 8 8 2
Cartesian
4.466 1.223 12.741
4.385 1.080 7.843
1.310 4.165 10.091
-1.608 3.739 14.934
3.128 3.258 19.228
1.452 3.920 21.476
-1.232 4.391 3.549
0.353 4.864 5.692
3.984 0.389 1.356
-1.452 3.920 10.091
1.553 0.530 7.843
0.142 1.651 10.091
-1.226 2.130 17.077
-0.353 4.864 17.077
-0.142 1.651 21.476
-1.579 2.741 5.692
4.068 0.530 19.228
1.226 2.130 5.692
-1.310 4.165 21.476
1.155 1.223 1.356
-0.376 1.606 3.549
3.292 3.256 1.356
2.493 3.258 7.843
1.608 3.739 3.549
1.236 1.080 19.228
1.579 2.741 17.077
1.637 0.389 12.741
0.376 1.606 14.934
2.329 3.256 12.741
1.232 4.391 14.934
2.811 1.623 14.631
0.000 3.245 0.686
2.811 1.623 3.245
0.000 3.245 8.141
0.000 0.000 5.705
0.000 3.245 19.526
0.000 0.000 17.090
0.000 3.245 12.072
0.000 0.000 20.658
2.811 1.623 6.854
0.000 0.000 2.145
0.000 0.000 13.530
2.811 1.623 18.239
0.000 3.245 4.511
0.000 0.000 9.272
0.000 3.245 15.897
2.811 1.623 10.471
2.811 1.623 21.856
```

Record 3
Material: Ba3LaTl2O8
Method: DFT, PBE
State: relaxed

Computed properties:
Its total energy is -5.768 eV/atom.

Structure (POSCAR):
```
Ba3LaTl2O8
1.0
-2.015 -4.655 3.852
2.132 -1.396 -5.837
7.425 -0.810 2.906
Ba O La Tl
3 8 1 2
Cartesian
2.176 -3.875 1.721
5.366 -2.986 -0.801
0.000 0.000 0.000
3.845 -2.202 -3.278
4.761 -5.355 1.285
2.840 -4.526 -1.355
4.702 -2.335 2.276
2.781 -1.506 -0.364
3.697 -4.658 4.199
-0.070 -3.630 0.842
7.612 -3.231 0.078
3.713 -0.405 1.453
5.466 -4.234 3.009
2.076 -2.627 -2.088
```

Record 4
Material: Ba2LaTm3O8
Method: DFT, PBE
State: relaxed

Computed properties:
Its total energy is -7.633 eV/atom.

Structure (POSCAR):
```
Ba2LaTm3O8
1.0
-4.467 -2.698 -4.584
-1.017 -6.867 -0.229
-6.346 -2.655 2.485
O Tm La Ba
8 3 1 2
Cartesian
-3.320 -6.502 -0.945
-6.977 -7.571 0.731
-6.527 -4.531 0.832
-4.970 -4.508 -3.028
-5.457 -7.793 -3.137
-8.504 -5.726 -1.197
-2.692 -3.087 -0.822
-9.081 -9.141 -1.557
-6.872 -6.085 2.339
-9.066 -7.411 0.087
-8.566 -4.038 0.200
-7.046 -9.381 -3.399
-4.679 -2.852 0.976
-5.933 -6.108 -1.148
```

Record 5
Material: Ba3LaU2O9
Method: DFT, PBE
State: relaxed

Computed properties:
Its total energy is -8.296 eV/atom.

Structure (POSCAR):
```
Ba3LaU2O9
1.0
-2.091 -5.451 2.521
4.656 3.249 2.866
-5.302 3.947 4.137
O La U Ba
9 1 2 3
Cartesian
0.773 0.401 5.345
1.282 -1.101 2.694
-4.511 -1.263 5.385
-0.453 1.454 2.769
2.328 1.624 1.433
-1.046 -2.726 1.260
1.774 3.008 4.140
-2.285 0.291 6.756
-3.511 1.344 4.179
-2.651 1.973 2.069
-4.282 0.754 6.100
1.544 0.991 3.424
-1.118 2.973 5.502
-1.619 -1.228 4.023
0.000 0.000 0.000
```

no.,density (g/cm³),size of the total moment (Bohr magnetons per cell)
1,6.2,0.93
2,6.0,0.00
3,6.4,1.07
4,6.8,0.00
5,7.1,3.00